[1]
This record from Alexandria describes a PBEsol-optimized structure of LaNi2Au. The functional is meta-GGA SCAN.

Calculated values
The formation energy is -0.461 eV per atom. For the volume, the calculation gives 18.5 Å³/atom.

abc: 5.1806 5.1806 5.1806
angles: 49.50 49.50 49.50
Closest atoms and distances in Å follow each position.
Atoms (fractional coordinates):
1 La 0.0000 0.0000 0.0000  2 Ni 2.61
2 Ni 0.1917 0.1917 0.1917  3 Au 2.53, 3 Ni 2.60, 1 La 2.61
3 Ni 0.8083 0.8083 0.8083  3 Au 2.53, 3 Ni 2.60, 1 La 2.61
4 Au 0.5000 0.5000 0.5000  6 Ni 2.53

---

[2]
This record from Alexandria describes a PBEsol-optimized structure of LaNi2Au. The functional is meta-GGA SCAN.

Calculated values
The formation energy is -0.181 eV per atom. For the volume, the calculation gives 16.9 Å³/atom.

abc: 5.2335 5.2335 5.2335
angles: 138.10 134.40 63.64
Closest atoms and distances in Å follow each position.
Atoms (fractional coordinates):
1 La 0.0000 0.0000 0.0000  8 Ni 2.76-2.99, 4 Au 2.95-2.97
2 Ni 0.2622 0.7622 0.5000  2 Ni 2.70, 4 Au 2.77, 4 La 2.93-2.99
3 Ni 0.4805 0.4805 0.0000  2 Ni 2.70, 4 La 2.76, 4 Au 2.94-2.98
4 Au 0.7406 0.2406 0.5000  8 Ni 2.77-2.98, 4 La 2.95-2.97